Record 1
Entry from Alexandria: crystalline Ba2PdS2 at its relaxed geometry (PBE-GGA).

Calculated values
Mass density (g/cm³): 5.0
E above lowest polymorph (eV per atom): 0.000
Fermi-level density of states (states/eV per cell): 1.27
Formation energy without anion corrections (meV/atom): -1022
Electronic total energy (eV/atom): -4.48
Total magnetization (μB per formula unit): 0.00
V (Å³ per cell): 294.9
Crystal system: tetragonal

a b c (Å): 8.564 8.564 4.021
angles (deg): 90.00 90.00 90.00
Atoms (fractional coordinates):
Ba 0.650 0.150 0.000
Ba 0.850 0.650 0.000
Ba 0.350 0.850 0.000
Ba 0.150 0.350 0.000
S 0.344 0.156 0.500
S 0.156 0.656 0.500
S 0.844 0.344 0.500
S 0.656 0.844 0.500
Pd 0.500 0.500 0.000
Pd 0.000 0.000 0.000

---

Record 2
Entry from Alexandria: crystalline NdDyI2 at its relaxed geometry (PBE-GGA).

Calculated values
Mass density (g/cm³): 7.5
E above lowest polymorph (eV per atom): 0.000
Fermi-level density of states (states/eV per cell): 1.73
Formation energy without anion corrections (meV/atom): -784
Electronic total energy (eV/atom): -3.90
Total magnetization (μB per formula unit): 0.00
V (Å³ per cell): 123.3
Crystal system: trigonal

a b c (Å): 3.850 3.850 9.860
angles (deg): 78.74 78.74 60.00
Atoms (fractional coordinates):
Dy 0.502 0.502 0.494
Nd 0.665 0.665 0.006
I 0.086 0.086 0.742
I 0.247 0.247 0.258

---

Record 3
Entry from Alexandria: crystalline Si4Sb at its relaxed geometry (PBE-GGA).

Calculated values
Mass density (g/cm³): 4.4
E above lowest polymorph (eV per atom): 0.000
Fermi-level density of states (states/eV per cell): 2.33
Formation energy without anion corrections (meV/atom): 502
Electronic total energy (eV/atom): -4.66
Total magnetization (μB per formula unit): 0.00
V (Å³ per cell): 88.6
Crystal system: tetragonal

a b c (Å): 5.428 5.428 5.428
angles (deg): 95.35 95.35 144.43
Atoms (fractional coordinates):
Si 0.141 0.635 0.776
Si 0.365 0.141 0.506
Si 0.859 0.365 0.224
Si 0.635 0.859 0.494
Sb 0.000 0.000 0.000

---

Record 4
Entry from Alexandria: crystalline PbSe2O at its relaxed geometry (PBE-GGA).

Calculated values
Mass density (g/cm³): 6.1
E above lowest polymorph (eV per atom): 0.388
Fermi-level density of states (states/eV per cell): 0.53
Formation energy without anion corrections (meV/atom): 385
Electronic total energy (eV/atom): -3.52
Total magnetization (μB per formula unit): 0.00
V (Å³ per cell): 104.3
Crystal system: trigonal

a b c (Å): 7.276 7.276 7.276
angles (deg): 33.47 33.47 33.47
Atoms (fractional coordinates):
Se 0.150 0.150 0.150
Se 0.850 0.850 0.850
O 0.500 0.500 0.500
Pb 0.000 0.000 0.000

---

Record 5
Entry from Alexandria: crystalline SrMg2Rh2 at its relaxed geometry (PBE-GGA).

Calculated values
Mass density (g/cm³): 5.2
E above lowest polymorph (eV per atom): 0.080
Fermi-level density of states (states/eV per cell): 1.24
Calculated formation energy (eV per atom): -0.2428
Electronic total energy (eV/atom): -4.16
Total magnetization (μB per formula unit): 0.00
V (Å³ per cell): 109.9
Crystal system: tetragonal

a b c (Å): 4.707 4.707 5.972
angles (deg): 66.79 66.79 90.00
Atoms (fractional coordinates):
Rh 0.750 0.250 0.500
Rh 0.250 0.750 0.500
Sr 0.000 0.000 0.000
Mg 0.652 0.652 0.697
Mg 0.348 0.348 0.303

---

Record 6
Entry from Alexandria: crystalline TaOs5 at its relaxed geometry (PBE-GGA).

Calculated values
Mass density (g/cm³): 21.1
E above lowest polymorph (eV per atom): 0.000
Fermi-level density of states (states/eV per cell): 4.20
Calculated formation energy (eV per atom): -0.0764
Electronic total energy (eV/atom): -11.41
Total magnetization (μB per formula unit): 0.00
V (Å³ per cell): 89.2
Crystal system: monoclinic

a b c (Å): 2.780 5.230 6.561
angles (deg): 76.49 90.00 105.41
Atoms (fractional coordinates):
Ta 0.722 0.443 0.052
Os 0.666 0.333 0.662
Os 0.995 0.991 0.000
Os 0.392 0.785 0.719
Os 0.053 0.106 0.393
Os 0.338 0.676 0.341

---

Which of these has the highest V? Ba2PdS2